## CsLiSmSe2 (PBE)

Data for an optimized crystal structure of CsLiSmSe2.

Size of the total moment in μB/atom: 0.09
ΔE_f (raw) in meV per atom: -1188
Calculated volume in Å³/cell: 739.6

a = 7.393 Å, b = 15.493 Å, c = 6.457 Å
α = 90.00°, β = 90.00°, γ = 90.00°
Space group Cmme (No. 67)
Asymmetric unit:
Cs 0.000 0.250 0.224 (multiplicity 4)
Li 0.000 0.000 0.000 (multiplicity 4)
Sm 0.250 0.000 0.500 (multiplicity 4)
Se 0.000 0.106 0.720 (multiplicity 8)

---

## CsLiSmSe3 (PBE)

Data for an optimized crystal structure of CsLiSmSe3.

Size of the total moment in μB/atom: 0.13
ΔE_f (raw) in meV per atom: -1352
Calculated volume in Å³/cell: 780.0

a = 4.515 Å, b = 17.037 Å, c = 10.140 Å
α = 90.00°, β = 90.00°, γ = 90.00°
Space group Cmcm (No. 63)
Asymmetric unit:
Cs 0.000 0.247 0.250 (multiplicity 4)
Li 0.000 0.481 0.250 (multiplicity 4)
Sm 0.000 0.000 0.000 (multiplicity 4)
Se 0.000 0.085 0.750 (multiplicity 4)
Se 0.000 0.400 0.595 (multiplicity 8)

---

## CsLiSnSe3 (PBE)

Data for an optimized crystal structure of CsLiSnSe3.

Size of the total moment in μB/atom: 0.00
ΔE_f (raw) in meV per atom: -809
Calculated volume in Å³/cell: 757.4

a = 7.378 Å, b = 14.032 Å, c = 7.315 Å
α = 90.00°, β = 90.00°, γ = 90.00°
Space group Cmcm (No. 63)
Asymmetric unit:
Cs 0.000 0.248 0.250 (multiplicity 4)
Li 0.000 0.425 0.750 (multiplicity 4)
Sn 0.000 0.061 0.750 (multiplicity 4)
Se 0.000 0.240 0.750 (multiplicity 4)
Se 0.246 0.000 0.000 (multiplicity 8)

---

## CsLiSnSe2 (PBE)

Data for an optimized crystal structure of CsLiSnSe2.

Size of the total moment in μB/atom: 0.00
ΔE_f (raw) in meV per atom: -930
Calculated volume in Å³/cell: 706.4

a = 16.209 Å, b = 4.359 Å, c = 10.007 Å
α = 90.00°, β = 92.15°, γ = 90.00°
Space group C2/m (No. 12)
Asymmetric unit:
Cs 0.151 0.000 0.310 (multiplicity 4)
Li 0.200 0.000 0.933 (multiplicity 4)
Sn 0.070 0.500 0.778 (multiplicity 4)
Se 0.140 0.500 0.021 (multiplicity 4)
Se 0.160 0.000 0.679 (multiplicity 4)